Entry 1:
# RbTlSb (PBE, optimized geometry)
# **DOS at the Fermi energy**: 3.43 states/eV/cell
# **Formation energy from raw total energies**: -0.288 eV per atom
data_RbTlSb
_symmetry_space_group_name_H-M 'C 1 2/m 1'
_symmetry_Int_Tables_number 12
_symmetry_space_group_name_Hall '-C 2y'
_cell_length_a 13.154
_cell_length_b 5.258
_cell_length_c 8.930
_cell_angle_alpha 90.00
_cell_angle_beta 130.51
_cell_angle_gamma 90.00
loop_
_atom_site_label
_atom_site_type_symbol
_atom_site_fract_x
_atom_site_fract_y
_atom_site_fract_z
Rb1 Rb 0.066 0.000 0.320
Tl1 Tl 0.179 0.500 0.783
Sb1 Sb 0.148 0.500 0.119

***

Entry 2:
# Pa3Si (PBE, optimized geometry)
# **DOS at the Fermi energy**: 6.08 states/eV/cell
# **Formation energy from raw total energies**: -0.207 eV per atom
data_Pa3Si
_symmetry_space_group_name_H-M 'P m m 2'
_symmetry_Int_Tables_number 25
_symmetry_space_group_name_Hall 'P 2 -2'
_cell_length_a 3.141
_cell_length_b 5.136
_cell_length_c 5.502
_cell_angle_alpha 90.00
_cell_angle_beta 90.00
_cell_angle_gamma 90.00
loop_
_atom_site_label
_atom_site_type_symbol
_atom_site_fract_x
_atom_site_fract_y
_atom_site_fract_z
Pa1 Pa 0.000 0.000 0.000
Pa2 Pa 0.000 0.500 0.393
Pa3 Pa 0.500 0.500 0.868
Si1 Si 0.500 0.000 0.520

***

Entry 3:
# CdCoPd2 (PBE, optimized geometry)
# **ΔE_f**: 0.0 eV/f.u.
# **DOS at the Fermi energy**: 14.10 states/eV/cell
data_CdCoPd2
_symmetry_space_group_name_H-M 'R -3 m'
_symmetry_Int_Tables_number 166
_symmetry_space_group_name_Hall '-R 3 2"'
_cell_length_a 2.8527
_cell_length_b 2.8527
_cell_length_c 26.4558
_cell_angle_alpha 90.00
_cell_angle_beta 90.00
_cell_angle_gamma 120.00
loop_
_atom_site_label
_atom_site_type_symbol
_atom_site_fract_x
_atom_site_fract_y
_atom_site_fract_z
Cd1 Cd 0.0000 0.0000 0.0000
Co1 Co 0.0000 0.0000 0.5000
Pd1 Pd 0.0000 0.0000 0.2436

***

Entry 4:
# Pr5Ni2Ag (PBE, optimized geometry)
# **ΔE_f**: -1.6 eV/f.u.
# **DOS at the Fermi energy**: 37.22 states/eV/cell
data_Pr5Ni2Ag
_symmetry_space_group_name_H-M 'I 4/m c m'
_symmetry_Int_Tables_number 140
_symmetry_space_group_name_Hall '-I 4 2c'
_cell_length_a 8.013
_cell_length_b 8.013
_cell_length_c 13.445
_cell_angle_alpha 90.00
_cell_angle_beta 90.00
_cell_angle_gamma 90.00
loop_
_atom_site_label
_atom_site_type_symbol
_atom_site_fract_x
_atom_site_fract_y
_atom_site_fract_z
Pr1 Pr 0.000 0.000 0.000
Pr2 Pr 0.162 0.338 0.137
Ni1 Ni 0.120 0.380 0.500
Ag1 Ag 0.000 0.000 0.250

***

Entry 5:
# Hg4AuI3 (PBE, optimized geometry)
# **DOS at the Fermi energy**: 5.17 states/eV/cell
# **Formation energy from raw total energies**: -0.067 eV per atom
data_Hg4AuI3
_symmetry_space_group_name_H-M 'I m m 2'
_symmetry_Int_Tables_number 44
_symmetry_space_group_name_Hall 'I 2 -2'
_cell_length_a 8.048
_cell_length_b 10.536
_cell_length_c 6.621
_cell_angle_alpha 90.00
_cell_angle_beta 90.00
_cell_angle_gamma 90.00
loop_
_atom_site_label
_atom_site_type_symbol
_atom_site_fract_x
_atom_site_fract_y
_atom_site_fract_z
Hg1 Hg 0.000 0.216 0.000
Hg2 Hg 0.181 0.500 0.420
Au1 Au 0.000 0.000 0.756
I1 I 0.000 0.196 0.457
I2 I 0.000 0.500 0.919

***

Entry 6:
# EuDyIrPt (PBE, optimized geometry)
# **ΔE_f**: -3.1 eV/f.u.
# **DOS at the Fermi energy**: 47.20 states/eV/cell
data_EuDyIrPt
_symmetry_space_group_name_H-M 'F -4 3 m'
_symmetry_Int_Tables_number 216
_symmetry_space_group_name_Hall 'F -4 2 3'
_cell_length_a 6.995
_cell_length_b 6.995
_cell_length_c 6.995
_cell_angle_alpha 90.00
_cell_angle_beta 90.00
_cell_angle_gamma 90.00
loop_
_atom_site_label
_atom_site_type_symbol
_atom_site_fract_x
_atom_site_fract_y
_atom_site_fract_z
Eu1 Eu 0.000 0.000 0.000
Dy1 Dy 0.000 0.000 0.500
Ir1 Ir 0.250 0.250 0.750
Pt1 Pt 0.250 0.250 0.250

***

Entry 7:
# Li6Mg8Hg (PBE, optimized geometry)
# **ΔE_f**: -0.6 eV/f.u.
# **DOS at the Fermi energy**: 6.33 states/eV/cell
data_Li6Mg8Hg
_symmetry_space_group_name_H-M 'P 3'
_symmetry_Int_Tables_number 143
_symmetry_space_group_name_Hall 'P 3'
_cell_length_a 8.3166
_cell_length_b 8.3166
_cell_length_c 5.3261
_cell_angle_alpha 90.00
_cell_angle_beta 90.00
_cell_angle_gamma 120.00
loop_
_atom_site_label
_atom_site_type_symbol
_atom_site_fract_x
_atom_site_fract_y
_atom_site_fract_z
Li1 Li 0.0482 0.2690 0.0000
Li2 Li 0.2665 0.2187 0.4013
Mg1 Mg 0.0944 0.4586 0.4847
Mg2 Mg 0.3333 0.6667 0.9902
Mg3 Mg 0.4579 0.3630 0.9179
Mg4 Mg 0.6667 0.3333 0.4092
Hg1 Hg 0.0000 0.0000 0.7041

***

Entry 8:
# BeIrSe2N (PBE, optimized geometry)
# **DOS at the Fermi energy**: 2.24 states/eV/cell
# **Formation energy from raw total energies**: 0.718 eV per atom
data_BeIrSe2N
_symmetry_space_group_name_H-M 'P 4/m m m'
_symmetry_Int_Tables_number 123
_symmetry_space_group_name_Hall '-P 4 2'
_cell_length_a 5.122
_cell_length_b 5.122
_cell_length_c 3.626
_cell_angle_alpha 90.00
_cell_angle_beta 90.00
_cell_angle_gamma 90.00
loop_
_atom_site_label
_atom_site_type_symbol
_atom_site_fract_x
_atom_site_fract_y
_atom_site_fract_z
Be1 Be 0.000 0.000 0.000
Ir1 Ir 0.500 0.500 0.500
Se1 Se 0.000 0.500 0.500
N1 N 0.500 0.500 0.000